Record 1
# PBE-GGA LiBe2Cl, optimized geometry
data_LiBe2Cl
_symmetry_space_group_name_H-M 'P 1'
_symmetry_Int_Tables_number 1
_symmetry_space_group_name_Hall 'P 1'
_cell_length_a 8.771
_cell_length_b 8.771
_cell_length_c 3.142
_cell_angle_alpha 99.39
_cell_angle_beta 99.39
_cell_angle_gamma 20.64
loop_
_atom_site_label
_atom_site_type_symbol
_atom_site_fract_x
_atom_site_fract_y
_atom_site_fract_z
Li1 Li 0.000 0.000 0.000
Be1 Be 0.250 0.250 0.750
Be2 Be 0.750 0.750 0.250
Cl1 Cl 0.500 0.500 0.500
# Crystal system: monoclinic
# Magnetization, μB/cell: 0.000
# SG: C2/m (12)
# Distance to the lowest polymorph of the same formula, eV per formula unit: 0.052
# Theoretical density, g/cm3: 1.19
# V, Å³ per cell: 84.0
# Energy, Ry/atom: -0.2157
# Energy relative to the elements, uncorrected, eV/f.u.: -0.53

***

Record 2
# PBE-GGA LiBe2Cl, optimized geometry
data_LiBe2Cl
_symmetry_space_group_name_H-M 'P 1'
_symmetry_Int_Tables_number 1
_symmetry_space_group_name_Hall 'P 1'
_cell_length_a 4.175
_cell_length_b 4.175
_cell_length_c 6.010
_cell_angle_alpha 110.18
_cell_angle_beta 110.18
_cell_angle_gamma 42.59
loop_
_atom_site_label
_atom_site_type_symbol
_atom_site_fract_x
_atom_site_fract_y
_atom_site_fract_z
Li1 Li 0.000 0.000 0.000
Be1 Be 0.484 0.484 0.318
Be2 Be 0.744 0.744 0.266
Cl1 Cl 0.985 0.985 0.580
# Crystal system: monoclinic
# Magnetization, μB/cell: 0.000
# SG: Cm (8)
# Distance to the lowest polymorph of the same formula, eV per formula unit: 0.659
# Theoretical density, g/cm3: 1.52
# V, Å³ per cell: 65.9
# Energy, Ry/atom: -0.2046
# Energy relative to the elements, uncorrected, eV/f.u.: 0.08

***

Record 3
# PBE-GGA LiBeCl4, optimized geometry
data_LiBeCl4
_symmetry_space_group_name_H-M 'P 1'
_symmetry_Int_Tables_number 1
_symmetry_space_group_name_Hall 'P 1'
_cell_length_a 6.002
_cell_length_b 6.002
_cell_length_c 6.002
_cell_angle_alpha 60.00
_cell_angle_beta 60.00
_cell_angle_gamma 60.00
loop_
_atom_site_label
_atom_site_type_symbol
_atom_site_fract_x
_atom_site_fract_y
_atom_site_fract_z
Li1 Li 0.000 0.000 0.000
Be1 Be 0.750 0.750 0.750
Cl1 Cl 0.375 0.375 0.375
Cl2 Cl 0.375 0.375 0.875
Cl3 Cl 0.375 0.875 0.375
Cl4 Cl 0.875 0.375 0.375
# Crystal system: cubic
# Magnetization, μB/cell: 3.026
# SG: F-43m (216)
# Theoretical density, g/cm3: 1.71
# V, Å³ per cell: 152.9
# Energy, Ry/atom: -0.1253
# Energy relative to the elements, uncorrected, eV/f.u.: 2.80

***

Record 4
# PBE-GGA LiBeCl2, optimized geometry
data_LiBeCl2
_symmetry_space_group_name_H-M 'P 1'
_symmetry_Int_Tables_number 1
_symmetry_space_group_name_Hall 'P 1'
_cell_length_a 3.781
_cell_length_b 3.781
_cell_length_c 6.903
_cell_angle_alpha 90.00
_cell_angle_beta 90.00
_cell_angle_gamma 128.39
loop_
_atom_site_label
_atom_site_type_symbol
_atom_site_fract_x
_atom_site_fract_y
_atom_site_fract_z
Li1 Li 0.000 0.000 0.000
Be1 Be 0.000 0.000 0.500
Cl1 Cl 0.500 0.500 0.256
Cl2 Cl 0.500 0.500 0.744
# Crystal system: orthorhombic
# Magnetization, μB/cell: 0.939
# SG: Cmmm (65)
# Distance to the lowest polymorph of the same formula, eV per formula unit: 1.348
# Theoretical density, g/cm3: 1.86
# V, Å³ per cell: 77.4
# Energy, Ry/atom: -0.2123
# Energy relative to the elements, uncorrected, eV/f.u.: -2.22

***

Record 5
# PBE-GGA Li2MgBeCl6, optimized geometry
data_Li2MgBeCl6
_symmetry_space_group_name_H-M 'P 1'
_symmetry_Int_Tables_number 1
_symmetry_space_group_name_Hall 'P 1'
_cell_length_a 10.144
_cell_length_b 10.144
_cell_length_c 6.090
_cell_angle_alpha 101.93
_cell_angle_beta 101.93
_cell_angle_gamma 51.42
loop_
_atom_site_label
_atom_site_type_symbol
_atom_site_fract_x
_atom_site_fract_y
_atom_site_fract_z
Li1 Li 0.097 0.348 0.147
Li2 Li 0.348 0.097 0.647
Li3 Li 0.652 0.903 0.353
Li4 Li 0.903 0.652 0.853
Mg1 Mg 0.361 0.639 0.250
Mg2 Mg 0.639 0.361 0.750
Be1 Be 0.275 0.725 0.750
Be2 Be 0.725 0.275 0.250
Cl1 Cl 0.098 0.355 0.762
Cl2 Cl 0.117 0.775 0.959
Cl3 Cl 0.225 0.883 0.541
Cl4 Cl 0.335 0.509 0.539
Cl5 Cl 0.355 0.098 0.262
Cl6 Cl 0.491 0.665 0.961
Cl7 Cl 0.509 0.335 0.039
Cl8 Cl 0.645 0.902 0.738
Cl9 Cl 0.665 0.491 0.461
Cl10 Cl 0.775 0.117 0.459
Cl11 Cl 0.883 0.225 0.041
Cl12 Cl 0.902 0.645 0.238
# Crystal system: monoclinic
# Magnetization, μB/cell: 0.000
# SG: C2/c (15)
# Theoretical density, g/cm3: 1.81
# V, Å³ per cell: 476.9
# Energy, Ry/atom: -0.2686
# Energy relative to the elements, uncorrected, eV/f.u.: -16.32

***

Record 6
# PBE-GGA LiMnBeCl2, optimized geometry
data_LiMnBeCl2
_symmetry_space_group_name_H-M 'P 1'
_symmetry_Int_Tables_number 1
_symmetry_space_group_name_Hall 'P 1'
_cell_length_a 4.586
_cell_length_b 4.586
_cell_length_c 4.781
_cell_angle_alpha 90.00
_cell_angle_beta 90.00
_cell_angle_gamma 90.00
loop_
_atom_site_label
_atom_site_type_symbol
_atom_site_fract_x
_atom_site_fract_y
_atom_site_fract_z
Li1 Li 0.000 0.000 0.000
Mn1 Mn 0.500 0.500 0.000
Be1 Be 0.500 0.500 0.500
Cl1 Cl 0.000 0.500 0.500
Cl2 Cl 0.500 0.000 0.500
# Crystal system: tetragonal
# Magnetization, μB/cell: 4.133
# SG: P4/mmm (123)
# Theoretical density, g/cm3: 2.34
# V, Å³ per cell: 100.6
# Energy, Ry/atom: -0.2695
# Energy relative to the elements, uncorrected, eV/f.u.: 0.17

***

Record 7
# PBE-GGA NaLi2BeCl6, optimized geometry
data_NaLi2BeCl6
_symmetry_space_group_name_H-M 'P 1'
_symmetry_Int_Tables_number 1
_symmetry_space_group_name_Hall 'P 1'
_cell_length_a 9.160
_cell_length_b 9.160
_cell_length_c 7.050
_cell_angle_alpha 107.96
_cell_angle_beta 107.96
_cell_angle_gamma 94.18
loop_
_atom_site_label
_atom_site_type_symbol
_atom_site_fract_x
_atom_site_fract_y
_atom_site_fract_z
Na1 Na 0.108 0.892 0.750
Na2 Na 0.892 0.108 0.250
Li1 Li 0.241 0.433 0.900
Li2 Li 0.433 0.241 0.400
Li3 Li 0.567 0.759 0.600
Li4 Li 0.759 0.567 0.100
Be1 Be 0.162 0.838 0.250
Be2 Be 0.838 0.162 0.750
Cl1 Cl 0.051 0.192 0.710
Cl2 Cl 0.155 0.676 0.976
Cl3 Cl 0.192 0.051 0.210
Cl4 Cl 0.324 0.845 0.524
Cl5 Cl 0.335 0.435 0.617
Cl6 Cl 0.435 0.335 0.117
Cl7 Cl 0.565 0.665 0.883
Cl8 Cl 0.665 0.565 0.383
Cl9 Cl 0.676 0.155 0.476
Cl10 Cl 0.808 0.949 0.790
Cl11 Cl 0.845 0.324 0.024
Cl12 Cl 0.949 0.808 0.290
# Crystal system: monoclinic
# Magnetization, μB/cell: 2.000
# SG: C2/c (15)
# Theoretical density, g/cm3: 1.63
# V, Å³ per cell: 526.0
# Energy, Ry/atom: -0.2524
# Energy relative to the elements, uncorrected, eV/f.u.: -14.38

***

Record 8
# PBE-GGA NaLiBeCl4, optimized geometry
data_NaLiBeCl4
_symmetry_space_group_name_H-M 'P 1'
_symmetry_Int_Tables_number 1
_symmetry_space_group_name_Hall 'P 1'
_cell_length_a 7.351
_cell_length_b 7.351
_cell_length_c 7.351
_cell_angle_alpha 121.32
_cell_angle_beta 118.78
_cell_angle_gamma 89.93
loop_
_atom_site_label
_atom_site_type_symbol
_atom_site_fract_x
_atom_site_fract_y
_atom_site_fract_z
Na1 Na 0.500 0.000 0.000
Na2 Na 0.500 0.500 0.500
Li1 Li 0.000 0.000 0.000
Li2 Li 0.500 0.000 0.500
Be1 Be 0.122 0.372 0.750
Be2 Be 0.878 0.628 0.250
Cl1 Cl 0.217 0.744 0.473
Cl2 Cl 0.228 0.256 0.973
Cl3 Cl 0.236 0.249 0.513
Cl4 Cl 0.236 0.723 0.987
Cl5 Cl 0.764 0.277 0.013
Cl6 Cl 0.764 0.751 0.487
Cl7 Cl 0.772 0.744 0.027
Cl8 Cl 0.783 0.256 0.527
# Crystal system: orthorhombic
# Magnetization, μB/cell: 0.000
# SG: Imma (74)
# Theoretical density, g/cm3: 2.14
# V, Å³ per cell: 280.5
# Energy, Ry/atom: -0.2667
# Energy relative to the elements, uncorrected, eV/f.u.: -11.05